1.
PBE-GGA RbLa2Tl2, optimized geometry; density of states at the Fermi level = 3.1 states/eV/f.u.; energy of formation = -0.20 eV per atom; total DFT energy (no corrections) = -3.31 eV/atom; theoretical density = 7.3 Mg/m³
1.0
9.975 0.000 0.000
0.000 9.975 0.000
0.000 0.000 3.551
Tl Rb La
4 2 4
direct
0.175 0.675 0.500
0.675 0.825 0.500
0.825 0.325 0.500
0.325 0.175 0.500
0.000 0.000 0.000
0.500 0.500 0.000
0.379 0.879 0.000
0.879 0.621 0.000
0.621 0.121 0.000
0.121 0.379 0.000

=====

2.
PBE-GGA RbLa4Tl5, optimized geometry; density of states at the Fermi level = 9.1 states/eV/f.u.; energy of formation = -0.34 eV per atom; total DFT energy (no corrections) = -3.59 eV/atom; theoretical density = 8.2 Mg/m³
1.0
-3.065 1.282 2.282
-2.383 0.086 -3.249
-5.588 -19.715 3.575
Rb La Tl
1 4 5
direct
0.000 0.000 0.000
0.000 0.000 0.215
0.000 0.000 0.405
0.000 0.000 0.595
0.000 0.000 0.785
0.500 0.500 0.129
0.500 0.500 0.312
0.500 0.500 0.500
0.500 0.500 0.688
0.500 0.500 0.871

=====

3.
PBE-GGA RbLa2Tl, optimized geometry; density of states at the Fermi level = 3.6 states/eV/f.u.; energy of formation = 0.32 eV per atom; total DFT energy (no corrections) = -2.97 eV/atom; theoretical density = 6.0 Mg/m³
1.0
-3.971 3.051 0.071
-2.192 -2.770 -3.551
-8.394 -6.982 7.096
Tl Rb La
2 2 4
direct
0.000 0.000 0.000
0.750 0.250 0.500
0.500 0.500 0.000
0.250 0.750 0.500
0.668 0.125 0.250
0.082 0.625 0.250
0.375 0.332 0.750
0.875 0.918 0.750